! Ca2Zn12Cu3Pd | Alexandria | PBE-GGA | optimized geometry; values from VASP
&SYSTEM
  ibrav = 0, nat = 18, ntyp = 4
/
ATOMIC_SPECIES
Ca 40.08 Ca.upf
Zn 65.41 Zn.upf
Cu 63.55 Cu.upf
Pd 106.42 Pd.upf
ATOMIC_POSITIONS angstrom
Ca 0.0000 0.0000 4.1989
Ca 0.0000 0.0000 25.1247
Zn 0.0000 -2.1424 8.3972
Zn -1.8554 1.0712 8.3972
Zn -1.4626 -0.8444 12.7090
Zn -1.8554 -1.0712 20.9264
Zn 0.0000 -1.6889 16.6147
Zn -1.4626 0.8444 16.6147
Zn 1.4626 -0.8444 12.7090
Zn 0.0000 1.6889 12.7090
Zn 1.8554 1.0712 8.3972
Zn 1.4626 0.8444 16.6146
Zn 1.8554 -1.0712 20.9264
Zn 0.0000 2.1424 20.9264
Cu -1.5584 -0.8997 9.7745
Cu -1.5583 0.8997 19.5491
Cu 0.0000 1.7994 9.7745
Pd 0.0000 0.0000 14.6618
CELL_PARAMETERS angstrom
3.1167 1.7994 9.7745
-3.1167 1.7994 9.7745
0.0000 -3.5989 9.7745
! Theoretical density ... 5.9 g/cm3
! Calculated volume ... 328.9 Å³/f.u.
! Total magnetization ... 0.0000 μB per atom
! Uncorrected energy ... -2.08 eV/atom
! DOS(E_F) ... 5.8 states/eV/f.u.